Zr3PtF: optimized geometry, PBE.

The value obtained for the uncorrected formation energy is -0.790 eV per atom. Its energy is -7.5012 eV per atom. As for the density of states at the Fermi level: 5.1 states/eV/f.u. The energy relative to the lowest polymorph listed for this composition is 0 meV/atom.

Unit cell a=4.472 b=4.472 c=4.472 alpha=90.00 beta=90.00 gamma=90.00
Atoms (fractional coordinates):
Zr 0.500 0.000 0.000
Zr 0.000 0.500 0.000
Zr 0.000 0.000 0.500
F 0.000 0.000 0.000
Pt 0.500 0.500 0.500

PuF4: optimized geometry, PBE.

The value obtained for the uncorrected formation energy is -3.419 eV per atom. Its energy is -7.7827 eV per atom. As for the density of states at the Fermi level: 8.1 states/eV/f.u. The energy relative to the lowest polymorph listed for this composition is 0 meV/atom.

Unit cell a=8.315 b=8.315 c=8.320 alpha=63.18 beta=63.18 gamma=80.52
Atoms (fractional coordinates):
F 0.188 0.597 0.574
F 0.742 0.681 0.894
F 0.064 0.178 0.545
F 0.728 0.028 0.646
F 0.402 0.598 0.750
F 0.272 0.972 0.354
F 0.745 0.497 0.713
F 0.812 0.403 0.426
F 0.598 0.402 0.250
F 0.503 0.255 0.787
F 0.178 0.064 0.045
F 0.500 0.000 0.500
F 0.822 0.936 0.955
F 0.000 0.500 0.000
F 0.258 0.319 0.106
F 0.319 0.258 0.606
F 0.403 0.812 0.926
F 0.028 0.728 0.146
F 0.681 0.742 0.394
F 0.255 0.503 0.287
F 0.597 0.188 0.074
F 0.497 0.745 0.213
F 0.936 0.822 0.455
F 0.972 0.272 0.854
Pu 0.223 0.367 0.831
Pu 0.214 0.786 0.250
Pu 0.367 0.223 0.331
Pu 0.633 0.777 0.669
Pu 0.786 0.214 0.750
Pu 0.777 0.633 0.169

PuF2: optimized geometry, PBE.

The value obtained for the uncorrected formation energy is -3.052 eV per atom. Its energy is -9.0773 eV per atom. As for the density of states at the Fermi level: 10.0 states/eV/f.u.

Unit cell a=4.127 b=4.124 c=9.185 alpha=90.00 beta=90.00 gamma=119.28
Atoms (fractional coordinates):
Pu 0.738 0.761 0.750
Pu 0.762 0.739 0.250
F 0.750 0.750 0.500
F 0.097 0.405 0.250
F 0.403 0.095 0.750
F 0.750 0.750 0.000

PuF4: optimized geometry, PBE.

The value obtained for the uncorrected formation energy is -3.369 eV per atom. Its energy is -7.7323 eV per atom. As for the density of states at the Fermi level: 7.5 states/eV/f.u. The energy relative to the lowest polymorph listed for this composition is 50 meV/atom.

Unit cell a=5.402 b=5.410 c=5.966 alpha=116.96 beta=90.00 gamma=90.00
Atoms (fractional coordinates):
F 0.202 0.409 0.221
F 0.798 0.812 0.221
F 0.798 0.188 0.779
F 0.702 0.688 0.779
F 0.202 0.591 0.779
F 0.298 0.091 0.779
F 0.298 0.909 0.221
F 0.702 0.312 0.221
Pu 0.000 0.000 0.000
Pu 0.500 0.500 0.000

PuF4: optimized geometry, PBE.

The value obtained for the uncorrected formation energy is -3.028 eV per atom. Its energy is -7.3911 eV per atom. As for the density of states at the Fermi level: 17.6 states/eV/f.u. The energy relative to the lowest polymorph listed for this composition is 392 meV/atom.

Unit cell a=4.393 b=4.393 c=4.393 alpha=90.00 beta=90.00 gamma=90.00
Atoms (fractional coordinates):
F 0.000 0.000 0.000
F 0.500 0.000 0.500
F 0.500 0.500 0.000
F 0.000 0.500 0.500
Pu 0.500 0.500 0.500

PuF4: optimized geometry, PBE.

The value obtained for the uncorrected formation energy is -3.401 eV per atom. Its energy is -7.7640 eV per atom. As for the density of states at the Fermi level: 6.8 states/eV/f.u. The energy relative to the lowest polymorph listed for this composition is 19 meV/atom.

Unit cell a=5.374 b=4.469 c=8.819 alpha=97.07 beta=72.26 gamma=53.03
Atoms (fractional coordinates):
F 0.773 0.905 0.486
F 0.164 0.595 0.014
F 0.240 0.175 0.216
F 0.836 0.405 0.986
F 0.631 0.325 0.284
F 0.760 0.825 0.784
F 0.227 0.095 0.514
F 0.369 0.675 0.716
Pu 0.722 0.750 0.250
Pu 0.278 0.250 0.750

RbPu2F11: optimized geometry, PBE.

The value obtained for the uncorrected formation energy is -3.147 eV per atom. Its energy is -6.7342 eV per atom. As for the density of states at the Fermi level: 19.7 states/eV/f.u.

Unit cell a=9.793 b=9.323 c=9.323 alpha=66.66 beta=58.32 gamma=58.32
Atoms (fractional coordinates):
F 0.071 0.142 0.617
F 0.118 0.552 0.688
F 0.170 0.617 0.142
F 0.929 0.858 0.383
F 0.794 0.809 0.191
F 0.382 0.812 0.948
F 0.571 0.117 0.642
F 0.830 0.383 0.858
F 0.358 0.312 0.448
F 0.858 0.948 0.812
F 0.642 0.688 0.552
F 0.000 0.000 0.000
F 0.882 0.448 0.312
F 0.670 0.642 0.117
F 0.618 0.188 0.052
F 0.429 0.883 0.358
F 0.330 0.358 0.883
F 0.142 0.052 0.188
F 0.706 0.309 0.691
F 0.206 0.191 0.809
F 0.500 0.500 0.500
F 0.294 0.691 0.309
Rb 0.250 0.250 0.250
Rb 0.750 0.750 0.750
Pu 0.347 0.337 0.663
Pu 0.653 0.663 0.337
Pu 0.847 0.163 0.837
Pu 0.153 0.837 0.163

RbPuF4: optimized geometry, PBE.

The value obtained for the uncorrected formation energy is -3.234 eV per atom. Its energy is -7.0319 eV per atom. As for the density of states at the Fermi level: 5.9 states/eV/f.u. The energy relative to the lowest polymorph listed for this composition is 108 meV/atom.

Unit cell a=6.198 b=7.035 c=7.253 alpha=114.80 beta=110.67 gamma=98.82
Atoms (fractional coordinates):
F 0.606 0.056 0.298
F 0.589 0.298 0.100
F 0.411 0.702 0.900
F 0.989 0.199 0.900
F 0.394 0.944 0.702
F 0.011 0.801 0.100
F 0.807 0.758 0.702
F 0.193 0.242 0.298
Pu 0.783 0.033 0.065
Pu 0.217 0.967 0.935
Rb 0.394 0.644 0.289
Rb 0.606 0.356 0.711